Record 1
Compound: SrCuO3
Source: the Alexandria database
Functional: PBE
Structure: optimized geometry

abc: 4.5063 4.5063 4.5063
angles: 90.00 90.00 90.00
With the nearest neighbours (Å) after each atom.
Sites, in units of the cell vectors:
Sr (0.0000, 0.0000, 0.0000)  6 O 2.25
O (0.5000, 0.0000, 0.0000)  2 Sr 2.25
Cu (0.5000, 0.5000, 0.5000)  12 O 3.19
O (0.0000, 0.0000, 0.5000)  2 Sr 2.25
O (0.0000, 0.5000, 0.0000)  2 Sr 2.25

## Properties
Symmetry = Pm-3m (221)



Record 2
Compound: Sr2Cu2O3
Source: the Alexandria database
Functional: PBE
Structure: optimized geometry

abc: 9.4180 7.7448 6.1251
angles: 84.68 54.96 40.36
With the nearest neighbours (Å) after each atom.
Sites, in units of the cell vectors:
Sr (0.3936, 0.3936, 0.6064)  4 O 2.44-2.63
O (0.6614, 0.3386, 0.6614)  3 Cu 1.94-2.10
Cu (0.1699, 0.8301, 0.1699)  4 O 1.94-2.10
O (0.3386, 0.6614, 0.3386)  3 Cu 1.94-2.10
Cu (0.8301, 0.1699, 0.8301)  4 O 1.94-2.10
O (0.0000, 0.0000, 0.0000)  2 Cu 1.96
Sr (0.6064, 0.6064, 0.3936)  4 O 2.44-2.63

## Properties
Symmetry = Fmmm (69)



Record 3
Compound: SrCuO3
Source: the Alexandria database
Functional: PBE
Structure: optimized geometry

abc: 3.8883 3.8883 3.8891
angles: 90.00 90.00 90.00
With the nearest neighbours (Å) after each atom.
Sites, in units of the cell vectors:
O (0.9944, 0.4927, 0.0016)  2 Cu 1.94
Sr (0.4945, 0.9929, 0.0016)  12 O 2.75
Cu (0.9948, 0.4932, 0.5015)  6 O 1.94
O (0.9944, 0.9930, 0.5019)  2 Cu 1.94
O (0.4946, 0.4929, 0.5013)  2 Cu 1.94

## Properties
Symmetry = Pm-3m (221)



Record 4
Compound: SrTaCuO5
Source: the Alexandria database
Functional: PBE
Structure: optimized geometry

abc: 5.7507 5.7507 7.5596
angles: 100.62 100.62 113.01
With the nearest neighbours (Å) after each atom.
Sites, in units of the cell vectors:
Cu (0.3283, 0.6717, 0.7500)  4 O 1.89-1.90
O (0.7133, 0.6343, 0.4260)  1 Cu 1.90, 1 Ta 1.99
Sr (0.3240, 0.6760, 0.2500)  7 O 2.51-2.71
O (0.1352, 0.7376, 0.9142)  1 Cu 1.89, 1 Ta 2.01
O (0.3657, 0.2867, 0.0740)  1 Cu 1.90, 1 Ta 1.99
O (0.7376, 0.1352, 0.4142)  1 Cu 1.89, 1 Ta 2.01
O (0.9380, 0.0620, 0.7500)  2 Ta 1.98
Ta (0.0000, 0.0000, 0.5000)  6 O 1.98-2.01
O (0.0620, 0.9380, 0.2500)  2 Ta 1.98
O (0.6343, 0.7133, 0.9260)  1 Cu 1.90, 1 Ta 1.99
Sr (0.6760, 0.3240, 0.7500)  7 O 2.51-2.71
O (0.2624, 0.8648, 0.5858)  1 Cu 1.89, 1 Ta 2.01
Cu (0.6717, 0.3283, 0.2500)  4 O 1.89-1.90
Ta (0.0000, 0.0000, 0.0000)  6 O 1.98-2.01
O (0.8648, 0.2624, 0.0858)  1 Cu 1.89, 1 Ta 2.01
O (0.2867, 0.3657, 0.5740)  1 Cu 1.90, 1 Ta 1.99

## Properties
Symmetry = C2/c (15)



Record 5
Compound: Sr3Ta2CuO9
Source: the Alexandria database
Functional: PBE
Structure: optimized geometry

abc: 5.7091 5.7091 7.0367
angles: 90.00 90.00 120.00
With the nearest neighbours (Å) after each atom.
Sites, in units of the cell vectors:
O (0.3392, 0.1696, 0.6736)  1 Ta 1.93, 1 Cu 2.07
Sr (0.3333, 0.6667, 0.6583)  12 O 2.84-2.91
O (0.8304, 0.1696, 0.6736)  1 Ta 1.93, 1 Cu 2.07
O (0.1696, 0.8304, 0.3264)  1 Ta 1.93, 1 Cu 2.07
O (0.8304, 0.6608, 0.6736)  1 Ta 1.93, 1 Cu 2.07
O (0.5000, 0.5000, 0.0000)  2 Ta 2.07
Sr (0.6667, 0.3333, 0.3417)  12 O 2.84-2.91
Sr (0.0000, 0.0000, 0.0000)  12 O 2.84-2.85
O (0.5000, 0.0000, 0.0000)  2 Ta 2.07
Cu (0.0000, 0.0000, 0.5000)  6 O 2.07
O (0.6608, 0.8304, 0.3264)  1 Ta 1.93, 1 Cu 2.07
Ta (0.3333, 0.6667, 0.1770)  6 O 1.93-2.07
Ta (0.6667, 0.3333, 0.8230)  6 O 1.93-2.07
O (0.0000, 0.5000, 0.0000)  2 Ta 2.07
O (0.1696, 0.3392, 0.3264)  1 Ta 1.93, 1 Cu 2.07

## Properties
Symmetry = P-3m1 (164)



Record 6
Compound: Sr3TaCu2O9
Source: the Alexandria database
Functional: PBE
Structure: optimized geometry

abc: 5.5771 5.5771 6.8415
angles: 90.00 90.00 120.00
With the nearest neighbours (Å) after each atom.
Sites, in units of the cell vectors:
Cu (0.3333, 0.6667, 0.1636)  6 O 1.96-1.98
Sr (0.3333, 0.6667, 0.6869)  12 O 2.68-2.91
O (0.3334, 0.1667, 0.6678)  1 Ta 1.98, 1 Cu 1.98
O (0.6666, 0.8333, 0.3322)  1 Ta 1.98, 1 Cu 1.98
O (0.1667, 0.3334, 0.3322)  1 Ta 1.98, 1 Cu 1.98
O (0.5000, 0.0000, 0.0000)  2 Cu 1.96
Sr (0.0000, 0.0000, 0.0000)  12 O 2.79
O (0.1667, 0.8333, 0.3322)  1 Ta 1.98, 1 Cu 1.98
O (0.0000, 0.5000, 0.0000)  2 Cu 1.96
Cu (0.6667, 0.3333, 0.8364)  6 O 1.96-1.98
Ta (0.0000, 0.0000, 0.5000)  6 O 1.98
Sr (0.6667, 0.3333, 0.3131)  12 O 2.68-2.91
O (0.8333, 0.1667, 0.6678)  1 Ta 1.98, 1 Cu 1.98
O (0.8333, 0.6666, 0.6678)  1 Ta 1.98, 1 Cu 1.98
O (0.5000, 0.5000, 0.0000)  2 Cu 1.96

## Properties
Symmetry = P-3m1 (164)



Record 7
Compound: Sr2YTaCu2O7
Source: the Alexandria database
Functional: PBE
Structure: optimized geometry

abc: 12.5556 12.5556 5.5697
angles: 77.73 77.73 143.81
With the nearest neighbours (Å) after each atom.
Sites, in units of the cell vectors:
Cu (0.5510, 0.9311, 0.5222)  4 O 1.95-2.07
O (0.7601, 0.1425, 0.5976)  2 Cu 1.95-1.97
O (0.3385, 0.7046, 0.4606)  2 Cu 1.97-2.00
O (0.2024, 0.2024, 0.1326)  2 Ta 2.01-2.04
O (0.2373, 0.3781, 0.4549)  1 Ta 1.88
O (0.9239, 0.9239, 0.0092)  2 Ta 2.00
Ta (0.1748, 0.1748, 0.5187)  4 O 1.88-2.01
Cu (0.4233, 0.0452, 0.5291)  4 O 1.97-2.05
O (0.2703, 0.6482, 0.0268)  2 Cu 2.05-2.07
O (0.8377, 0.2024, 0.0255)  2 Cu 2.04-2.05
Sr (0.4003, 0.1807, 0.9438)  6 O 2.52-2.80
O (0.1425, 0.7601, 0.5976)  2 Cu 1.95-1.97
Sr (0.6241, 0.8462, 0.0164)  4 O 2.49-2.64
Sr (0.8462, 0.6241, 0.0164)  4 O 2.49-2.64
Y (0.4699, 0.9699, 0.0477)  5 O 2.31-2.57
O (0.6255, 0.7616, 0.6223)  1 Ta 1.85
O (0.6482, 0.2703, 0.0268)  2 Cu 2.05-2.07
Sr (0.1807, 0.4003, 0.9438)  6 O 2.52-2.80
Cu (0.9311, 0.5510, 0.5222)  4 O 1.95-2.07
Y (0.9699, 0.4699, 0.0477)  5 O 2.31-2.57
Cu (0.0452, 0.4233, 0.5291)  4 O 1.97-2.05
O (0.7616, 0.6255, 0.6223)  1 Ta 1.85
O (0.3781, 0.2373, 0.4549)  1 Ta 1.88
O (0.2024, 0.8377, 0.0255)  2 Cu 2.04-2.05
Ta (0.8454, 0.8454, 0.4340)  4 O 1.85-2.04
O (0.7046, 0.3385, 0.4606)  2 Cu 1.97-2.00

## Properties
Symmetry = Cm (8)



Record 8
Compound: Sr3TbCu2O6
Source: the Alexandria database
Functional: PBE
Structure: optimized geometry

abc: 6.0793 6.0793 6.4699
angles: 90.00 90.00 120.00
With the nearest neighbours (Å) after each atom.
Sites, in units of the cell vectors:
Sr (0.0000, 0.0000, 0.0000)  6 O 2.57
O (0.8328, 0.6657, 0.7098)  1 Cu 1.90
Tb (0.0000, 0.0000, 0.5000)  6 O 2.22
Sr (0.6667, 0.3333, 0.3702)  9 O 2.81-3.08, 1 Cu 2.94
Cu (0.3333, 0.6667, 0.1748)  3 O 1.90
O (0.8328, 0.1672, 0.7098)  1 Cu 1.90
Cu (0.6667, 0.3333, 0.8252)  3 O 1.90
Sr (0.3333, 0.6667, 0.6298)  9 O 2.81-3.08, 1 Cu 2.94
O (0.1672, 0.8328, 0.2902)  1 Cu 1.90
O (0.6657, 0.8328, 0.2902)  1 Cu 1.90
O (0.1672, 0.3343, 0.2902)  1 Cu 1.90
O (0.3343, 0.1672, 0.7098)  1 Cu 1.90

## Properties
Symmetry = P-3m1 (164)



| no. | DFT total energy (eV per atom) |
| --- | --- |
| 1 | -3.97 |
| 2 | -5.01 |
| 3 | -5.45 |
| 4 | -7.41 |
| 5 | -7.82 |
| 6 | -6.66 |
| 7 | -7.22 |
| 8 | -5.95 |